P:
# SrUBi2 (PBE-GGA, relaxed)
# Spin magnetization: 3.02 μB per formula unit
# Mass density: 9.76 g cm⁻³
data_SrUBi2
_symmetry_space_group_name_H-M 'P 4/m m m'
_symmetry_Int_Tables_number 123
_symmetry_space_group_name_Hall '-P 4 2'
_cell_length_a 3.8653
_cell_length_b 3.8653
_cell_length_c 8.4655
_cell_angle_alpha 90.00
_cell_angle_beta 90.00
_cell_angle_gamma 90.00
loop_
_atom_site_label
_atom_site_type_symbol
_atom_site_fract_x
_atom_site_fract_y
_atom_site_fract_z
Sr1 Sr 0.0000 0.0000 0.0000
U1 U 0.0000 0.0000 0.5000
Bi1 Bi 0.5000 0.5000 0.2687



Q:
# SrUBi2 (PBE-GGA, relaxed)
# Spin magnetization: 3.33 μB per formula unit
# Mass density: 9.86 g cm⁻³
data_SrUBi2
_symmetry_space_group_name_H-M 'P 4/m m m'
_symmetry_Int_Tables_number 123
_symmetry_space_group_name_Hall '-P 4 2'
_cell_length_a 6.0349
_cell_length_b 6.0349
_cell_length_c 3.4384
_cell_angle_alpha 90.00
_cell_angle_beta 90.00
_cell_angle_gamma 90.00
loop_
_atom_site_label
_atom_site_type_symbol
_atom_site_fract_x
_atom_site_fract_y
_atom_site_fract_z
Sr1 Sr 0.0000 0.0000 0.0000
U1 U 0.5000 0.5000 0.0000
Bi1 Bi 0.0000 0.5000 0.5000



R:
# SrUBi2 (PBE-GGA, relaxed)
# Spin magnetization: 2.01 μB per formula unit
# Mass density: 8.57 g cm⁻³
data_SrUBi2
_symmetry_space_group_name_H-M 'R -3 m'
_symmetry_Int_Tables_number 166
_symmetry_space_group_name_Hall '-R 3 2"'
_cell_length_a 4.6364
_cell_length_b 4.6364
_cell_length_c 23.2296
_cell_angle_alpha 90.00
_cell_angle_beta 90.00
_cell_angle_gamma 120.00
loop_
_atom_site_label
_atom_site_type_symbol
_atom_site_fract_x
_atom_site_fract_y
_atom_site_fract_z
Sr1 Sr 0.0000 0.0000 0.0000
U1 U 0.0000 0.0000 0.5000
Bi1 Bi 0.0000 0.0000 0.2411



It is R that is the most stable of them.